[1]
# CoI3O9

A relaxed structure of CoI3O9 (PBE with a Hubbard U, OQMD via LeMat-Bulk).

a b c (Å): 5.022 9.002 9.063
angles (deg): 119.73 90.00 90.00
Positions (direct):
O 0.253 0.220 0.059
I 0.990 0.683 0.663
Co 0.871 0.333 0.671
O 0.252 0.839 0.779
O 0.120 0.193 0.471
I 0.489 0.665 0.979
I 0.992 0.981 0.314
Co 0.371 0.667 0.329
O 0.112 0.523 0.722
O 0.614 0.722 0.194
O 0.752 0.161 0.221
O 0.612 0.477 0.278
O 0.651 0.432 0.553
O 0.158 0.874 0.429
O 0.114 0.278 0.806
O 0.658 0.126 0.572
I 0.492 0.019 0.686
O 0.753 0.780 0.941
O 0.652 0.447 0.880
O 0.151 0.569 0.447
O 0.152 0.553 0.120
O 0.620 0.807 0.529
I 0.989 0.335 0.021
O 0.753 0.061 0.841
I 0.491 0.317 0.337
O 0.253 0.939 0.159

[2]
# CoI2O6

A relaxed structure of CoI2O6 (PBE with a Hubbard U, OQMD via LeMat-Bulk).

a b c (Å): 10.873 4.931 10.845
angles (deg): 90.00 119.77 90.00
Positions (direct):
O 0.034 0.749 0.601
I 0.654 0.591 0.585
I 0.346 0.091 0.415
O 0.679 0.275 0.798
O 0.967 0.310 0.887
O 0.659 0.812 0.932
O 0.341 0.312 0.068
O 0.672 0.299 0.272
O 0.178 0.272 0.297
O 0.534 0.813 0.614
I 0.845 0.090 0.915
O 0.464 0.253 0.897
O 0.378 0.262 0.581
Co 0.495 0.533 0.240
O 0.536 0.753 0.103
O 0.622 0.762 0.419
O 0.966 0.249 0.399
O 0.839 0.308 0.569
O 0.171 0.296 0.771
O 0.822 0.772 0.703
O 0.829 0.796 0.229
I 0.181 0.603 0.584
O 0.466 0.313 0.386
Co 0.505 0.033 0.760
O 0.123 0.758 0.919
O 0.033 0.810 0.113
O 0.321 0.775 0.202
I 0.319 0.104 0.916
O 0.328 0.799 0.728
O 0.877 0.258 0.081
O 0.161 0.808 0.431
Co 0.994 0.529 0.740
I 0.819 0.103 0.416
I 0.681 0.604 0.084
Co 0.006 0.029 0.260
I 0.155 0.590 0.085

no.,uncorrected energy (eV/atom)
1,-4.552
2,-4.721